Entry 1:
Below is a geometry-optimized Tm4Bi2H structure, with properties calculated at the PBE level.

**Calculated density**: 10.53 g cm⁻³
**Final energy**: -4.684 eV per atom

a b c (Å): 6.230 6.402 9.086
angles (deg): 90.00 107.73 90.00
Space group P2_1/m (No. 11)
Inequivalent atoms, fractional coordinates:
Tm 0.046 0.001 0.311
Tm 0.345 0.750 0.049
Tm 0.428 0.750 0.666
Bi 0.192 0.250 0.021
Bi 0.374 0.250 0.610
H 0.192 0.750 0.797


Entry 2:
Below is a geometry-optimized LiCuAg2 structure, with properties calculated at the PBE level.

**Formation energy from the elements**: -0.07 eV per atom
**Calculated density**: 7.77 g cm⁻³
**Final energy**: -3.000 eV per atom

a b c (Å): 4.228 4.228 3.424
angles (deg): 90.00 90.00 90.00
Space group P4/mmm (No. 123)
Inequivalent atoms, fractional coordinates:
Li 0.000 0.000 0.000
Cu 0.500 0.500 0.000
Ag 0.000 0.500 0.500


Entry 3:
Below is a geometry-optimized La3PbN structure, with properties calculated at the PBE level.

**Calculated density**: 7.71 g cm⁻³
**Final energy**: -6.260 eV per atom

a b c (Å): 7.2132 7.2132 6.0977
angles (deg): 90.00 90.00 120.00
Space group P6_3/mmc (No. 194)
Inequivalent atoms, fractional coordinates:
La 0.1625 0.3251 0.2500
Pb 0.3333 0.6667 0.7500
N 0.0000 0.0000 0.0000


Entry 4:
Below is a geometry-optimized BaTiOs2Ru structure, with properties calculated at the PBE level.

**Formation energy from the elements**: 1.15 eV per atom
**Calculated density**: 10.21 g cm⁻³
**Final energy**: -7.158 eV per atom

a b c (Å): 4.780 4.780 4.746
angles (deg): 90.00 90.00 90.00
Space group P4/mmm (No. 123)
Inequivalent atoms, fractional coordinates:
Ba 0.000 0.000 0.000
Ti 0.500 0.500 0.500
Os 0.000 0.500 0.500
Ru 0.500 0.500 0.000


Entry 5:
Below is a geometry-optimized Al2AsP structure, with properties calculated at the PBE level.

**Formation energy from the elements**: 0.01 eV per atom
**Calculated density**: 3.81 g cm⁻³
**Final energy**: -4.375 eV per atom

a b c (Å): 2.879 3.588 6.751
angles (deg): 90.00 90.00 90.00
Space group Pmmm (No. 47)
Inequivalent atoms, fractional coordinates:
Al 0.000 0.000 0.245
As 0.500 0.500 0.000
P 0.000 0.500 0.500


Entry 6:
Below is a geometry-optimized Ba5B2P5 structure, with properties calculated at the PBE level.

**Formation energy from the elements**: -0.58 eV per atom
**Calculated density**: 4.27 g cm⁻³
**Final energy**: -4.745 eV per atom

a b c (Å): 16.965 3.723 12.909
angles (deg): 90.00 124.59 90.00
Space group C2/m (No. 12)
Inequivalent atoms, fractional coordinates:
Ba 0.000 0.000 0.000
Ba 0.128 0.000 0.747
Ba 0.135 0.000 0.463
B 0.136 0.500 0.253
P 0.000 0.500 0.500
P 0.009 0.500 0.210
P 0.205 0.000 0.272


Entry 7:
Below is a geometry-optimized BaLa3P structure, with properties calculated at the PBE level.

**Formation energy from the elements**: -0.45 eV per atom
**Calculated density**: 4.93 g cm⁻³
**Final energy**: -4.873 eV per atom

a b c (Å): 5.818 5.818 5.818
angles (deg): 90.00 90.00 90.00
Space group Pm-3m (No. 221)
Inequivalent atoms, fractional coordinates:
Ba 0.000 0.000 0.000
La 0.000 0.500 0.500
P 0.500 0.500 0.500


Copy entry 7 word for word.
Below is a geometry-optimized BaLa3P structure, with properties calculated at the PBE level.

**Formation energy from the elements**: -0.45 eV per atom
**Calculated density**: 4.93 g cm⁻³
**Final energy**: -4.873 eV per atom

a b c (Å): 5.818 5.818 5.818
angles (deg): 90.00 90.00 90.00
Space group Pm-3m (No. 221)
Inequivalent atoms, fractional coordinates:
Ba 0.000 0.000 0.000
La 0.000 0.500 0.500
P 0.500 0.500 0.500


What did the third record say?
Below is a geometry-optimized La3PbN structure, with properties calculated at the PBE level.

**Calculated density**: 7.71 g cm⁻³
**Final energy**: -6.260 eV per atom

a b c (Å): 7.2132 7.2132 6.0977
angles (deg): 90.00 90.00 120.00
Space group P6_3/mmc (No. 194)
Inequivalent atoms, fractional coordinates:
La 0.1625 0.3251 0.2500
Pb 0.3333 0.6667 0.7500
N 0.0000 0.0000 0.0000